# 1
A geometry-optimized CsSiPt structure. Source: Alexandria via LeMat-Bulk, functional GGA-PBE.

The structure in POSCAR format:
```
CsSiPt
1.0
-2.0476 2.0476 11.8935
2.0476 -2.0476 11.8935
2.0476 2.0476 -11.8935
Cs Si Pt
2 2 2
direct
0.1446 0.1446 0.0000
0.8554 0.8554 0.0000
0.4406 0.4406 0.0000
0.5594 0.5594 0.0000
0.0000 0.5000 0.5000
0.5000 0.0000 0.5000
```

Output
Density of states at the Fermi level ... 2.43 states/eV per cell
Formation energy from raw total energies ... -0.306 eV/atom
Total energy ... -4.412 eV per atom

***

# 2
A geometry-optimized NbCoSb2 structure. Source: Alexandria via LeMat-Bulk, functional GGA-PBE.

The structure in POSCAR format:
```
NbCoSb2
1.0
0.0000 3.3270 3.3270
3.3270 0.0000 3.3270
3.3270 3.3270 0.0000
Nb Co Sb
1 1 2
direct
0.0000 0.0000 0.0000
0.5000 0.5000 0.5000
0.2500 0.2500 0.2500
0.7500 0.7500 0.7500
```

Output
Density of states at the Fermi level ... 1.56 states/eV per cell
Formation energy from raw total energies ... 0.206 eV/atom
Total energy ... -6.149 eV per atom